Entry 1:
Entry from Alexandria: a geometry-optimized MnReHg structure (PBE).

```
data_MnReHg
_symmetry_space_group_name_H-M 'P 3 m 1'
_symmetry_Int_Tables_number 156
_cell_length_a 2.8056
_cell_length_b 2.8056
_cell_length_c 6.9189
_cell_angle_alpha 90.00
_cell_angle_beta 90.00
_cell_angle_gamma 120.00
loop_
_symmetry_equiv_pos_as_xyz
'x,y,z'
'-y,x-y,z'
'-x+y,-x,z'
'-y,-x,z'
'-x+y,y,z'
'x,x-y,z'
loop_
_atom_site_label
_atom_site_type_symbol
_atom_site_fract_x
_atom_site_fract_y
_atom_site_fract_z
Mn1 Mn 0.0000 0.0000 0.0000
Re1 Re 0.3333 0.6667 0.2725
Hg1 Hg 0.6667 0.3333 0.6543
```

Computed properties:
ΔE to the lowest computed polymorph, meV/atom: 71
Calculated volume, Å³ per cell: 47
M_tot, μB/cell: 0.00
Total DFT energy (no corrections), eV/atom: -6.801

---

Entry 2:
Entry from Alexandria: a geometry-optimized MnReHg2 structure (PBE).

```
data_MnReHg2
_symmetry_space_group_name_H-M 'I -4 2 d'
_symmetry_Int_Tables_number 122
_symmetry_space_group_name_Hall 'I -4 2bw'
_cell_length_a 7.440
_cell_length_b 7.440
_cell_length_c 5.648
_cell_angle_alpha 90.00
_cell_angle_beta 90.00
_cell_angle_gamma 90.00
loop_
_atom_site_label
_atom_site_type_symbol
_atom_site_fract_x
_atom_site_fract_y
_atom_site_fract_z
Mn1 Mn 0.000 0.000 0.000
Re1 Re 0.000 0.000 0.500
Hg1 Hg 0.245 0.250 0.125
```

Computed properties:
ΔE to the lowest computed polymorph, meV/atom: 740
Calculated volume, Å³ per cell: 313
M_tot, μB/cell: 15.63
Total DFT energy (no corrections), eV/atom: -4.425

---

Entry 3:
Entry from Alexandria: a geometry-optimized Mn2ReHg structure (PBE).

```
data_Mn2ReHg
_symmetry_space_group_name_H-M 'F -4 3 m'
_symmetry_Int_Tables_number 216
_symmetry_space_group_name_Hall 'F -4 2 3'
_cell_length_a 6.279
_cell_length_b 6.279
_cell_length_c 6.279
_cell_angle_alpha 90.00
_cell_angle_beta 90.00
_cell_angle_gamma 90.00
loop_
_atom_site_label
_atom_site_type_symbol
_atom_site_fract_x
_atom_site_fract_y
_atom_site_fract_z
Mn1 Mn 0.000 0.000 0.000
Mn2 Mn 0.250 0.250 0.250
Re1 Re 0.250 0.250 0.750
Hg1 Hg 0.000 0.000 0.500
```

Computed properties:
Calculated volume, Å³ per cell: 248
M_tot, μB/cell: 19.99
Total DFT energy (no corrections), eV/atom: -7.137

---

Entry 4:
Entry from Alexandria: a geometry-optimized MnReHg2 structure (PBE).

```
data_MnReHg2
_symmetry_space_group_name_H-M 'F m -3 m'
_symmetry_Int_Tables_number 225
_symmetry_space_group_name_Hall '-F 4 2 3'
_cell_length_a 6.434
_cell_length_b 6.434
_cell_length_c 6.434
_cell_angle_alpha 90.00
_cell_angle_beta 90.00
_cell_angle_gamma 90.00
loop_
_atom_site_label
_atom_site_type_symbol
_atom_site_fract_x
_atom_site_fract_y
_atom_site_fract_z
Mn1 Mn 0.000 0.000 0.000
Re1 Re 0.000 0.000 0.500
Hg1 Hg 0.250 0.250 0.250
```

Computed properties:
ΔE to the lowest computed polymorph, meV/atom: 760
Calculated volume, Å³ per cell: 266
M_tot, μB/cell: 0.00
Total DFT energy (no corrections), eV/atom: -4.405

---

Entry 5:
Entry from Alexandria: a geometry-optimized MnReHg structure (PBE).

```
data_MnReHg
_symmetry_space_group_name_H-M 'F -4 3 m'
_symmetry_Int_Tables_number 216
_symmetry_space_group_name_Hall 'F -4 2 3'
_cell_length_a 5.962
_cell_length_b 5.962
_cell_length_c 5.962
_cell_angle_alpha 90.00
_cell_angle_beta 90.00
_cell_angle_gamma 90.00
loop_
_atom_site_label
_atom_site_type_symbol
_atom_site_fract_x
_atom_site_fract_y
_atom_site_fract_z
Mn1 Mn 0.000 0.000 0.000
Re1 Re 0.250 0.250 0.250
Hg1 Hg 0.250 0.250 0.750
```

Computed properties:
ΔE to the lowest computed polymorph, meV/atom: 399
Calculated volume, Å³ per cell: 212
M_tot, μB/cell: 7.68
Total DFT energy (no corrections), eV/atom: -6.472

---

Entry 6:
Entry from Alexandria: a geometry-optimized Mn2ReHg structure (PBE).

```
data_Mn2ReHg
_symmetry_space_group_name_H-M 'P 1 m 1'
_symmetry_Int_Tables_number 6
_cell_length_a 2.749
_cell_length_b 3.781
_cell_length_c 5.908
_cell_angle_alpha 90.00
_cell_angle_beta 92.34
_cell_angle_gamma 90.00
loop_
_symmetry_equiv_pos_as_xyz
'x,y,z'
'x,-y,z'
loop_
_atom_site_label
_atom_site_type_symbol
_atom_site_fract_x
_atom_site_fract_y
_atom_site_fract_z
Mn1 Mn 0.000 0.000 0.000
Mn2 Mn 0.471 0.500 0.776
Re1 Re 0.414 0.500 0.198
Hg1 Hg 0.950 0.000 0.505
```

Computed properties:
Calculated volume, Å³ per cell: 61
M_tot, μB/cell: 1.22
Total DFT energy (no corrections), eV/atom: -7.341

---

Which of these has the highest total DFT energy (no corrections)? number 4

---

Please write out number 3 again, unchanged.
Entry from Alexandria: a geometry-optimized Mn2ReHg structure (PBE).

```
data_Mn2ReHg
_symmetry_space_group_name_H-M 'F -4 3 m'
_symmetry_Int_Tables_number 216
_symmetry_space_group_name_Hall 'F -4 2 3'
_cell_length_a 6.279
_cell_length_b 6.279
_cell_length_c 6.279
_cell_angle_alpha 90.00
_cell_angle_beta 90.00
_cell_angle_gamma 90.00
loop_
_atom_site_label
_atom_site_type_symbol
_atom_site_fract_x
_atom_site_fract_y
_atom_site_fract_z
Mn1 Mn 0.000 0.000 0.000
Mn2 Mn 0.250 0.250 0.250
Re1 Re 0.250 0.250 0.750
Hg1 Hg 0.000 0.000 0.500
```

Computed properties:
Calculated volume, Å³ per cell: 248
M_tot, μB/cell: 19.99
Total DFT energy (no corrections), eV/atom: -7.137